CoRh2O | GGA+U | optimized geometry

Summary:
Total DFT energy (no corrections) = -46.7 eV per cell
V = 105.8 Å³/cell
Symmetry = I-42d (122)

Cell: 5.204 5.204 5.204 Å, 104.59 104.59 119.76°
Positions (direct):
Co (0.000, 0.000, 0.000)
Co (0.750, 0.250, 0.500)
Rh (0.200, 0.625, 0.075)
Rh (0.375, 0.450, 0.575)
Rh (0.550, 0.125, 0.925)
Rh (0.875, 0.800, 0.425)
O (0.250, 0.750, 0.500)
O (0.500, 0.500, 0.000)